PBE AlAsAu, optimized geometry; relative energy among the computed polymorphs = 0.162 eV/atom; SG = No. 216; uncorrected energy = -11.3 eV/cell
1.0
0.000 3.142 3.142
3.142 0.000 3.142
3.142 3.142 0.000
Al As Au
1 1 1
direct
0.250 0.250 0.250
0.000 0.000 0.000
0.750 0.750 0.750